No. 1
# HfAgAsF2 (GGA-PBE, optimized geometry)
data_HfAgAsF2
_chemical_formula_sum 'Hf1 Ag1 As1 F2'
_space_group_name_H-M_alt 'P 4/m m m'
_space_group_IT_number 123
_space_group_name_Hall '-P 4 2'
_cell_length_a 4.014
_cell_length_b 4.014
_cell_length_c 5.808
_cell_angle_alpha 90.00
_cell_angle_beta 90.00
_cell_angle_gamma 90.00
loop_
_atom_site_label
_atom_site_fract_x
_atom_site_fract_y
_atom_site_fract_z
Hf1 0.000 0.000 0.000
Ag1 0.000 0.000 0.500
As1 0.500 0.500 0.500
F1 0.000 0.500 0.000
# formation energy (no corrections): -144.4 kJ per mole of atoms
# total moment: 0.0 μB per cell

No. 2
# K2AgAsF6 (GGA-PBE, optimized geometry)
data_K2AgAsF6
_chemical_formula_sum 'K2 Ag1 As1 F6'
_space_group_name_H-M_alt 'P -1'
_space_group_IT_number 2
_cell_length_a 6.178
_cell_length_b 6.187
_cell_length_c 6.314
_cell_angle_alpha 60.79
_cell_angle_beta 60.93
_cell_angle_gamma 60.31
loop_
_space_group_symop_operation_xyz
'x,y,z'
'-x,-y,-z'
loop_
_atom_site_label
_atom_site_fract_x
_atom_site_fract_y
_atom_site_fract_z
K1 0.241 0.247 0.264
Ag1 0.000 0.000 0.000
As1 0.500 0.500 0.500
F1 0.222 0.319 0.670
F2 0.225 0.786 0.673
F3 0.369 0.725 0.186
# formation energy (no corrections): -210.5 kJ per mole of atoms
# total moment: 0.0 μB per cell

No. 3
# KAg2AsF6 (GGA-PBE, optimized geometry)
data_KAg2AsF6
_chemical_formula_sum 'K1 Ag2 As1 F6'
_space_group_name_H-M_alt 'P 1'
_space_group_IT_number 1
_cell_length_a 6.242
_cell_length_b 6.254
_cell_length_c 6.272
_cell_angle_alpha 60.34
_cell_angle_beta 60.39
_cell_angle_gamma 60.28
loop_
_space_group_symop_operation_xyz
'x,y,z'
loop_
_atom_site_label
_atom_site_fract_x
_atom_site_fract_y
_atom_site_fract_z
K1 0.000 0.000 0.000
Ag1 0.248 0.250 0.250
Ag2 0.781 0.781 0.782
As1 0.485 0.486 0.485
F1 0.164 0.649 0.406
F2 0.209 0.577 0.854
F3 0.405 0.168 0.650
F4 0.576 0.856 0.205
F5 0.648 0.403 0.169
F6 0.853 0.211 0.578
# formation energy (no corrections): -173.7 kJ per mole of atoms
# total moment: 0.0 μB per cell

No. 4
# KAgAsF6 (GGA-PBE, optimized geometry)
data_KAgAsF6
_chemical_formula_sum 'K2 Ag2 As2 F12'
_space_group_name_H-M_alt 'C 1 2 1'
_space_group_IT_number 5
_cell_length_a 6.021
_cell_length_b 10.446
_cell_length_c 5.240
_cell_angle_alpha 90.00
_cell_angle_beta 90.05
_cell_angle_gamma 90.00
loop_
_space_group_symop_operation_xyz
'x,y,z'
'-x,y,-z'
'x+1/2,y+1/2,z'
'-x+1/2,y+1/2,-z'
loop_
_atom_site_label
_atom_site_fract_x
_atom_site_fract_y
_atom_site_fract_z
K1 0.000 0.000 0.000
Ag1 0.000 0.334 0.500
As1 0.000 0.667 0.500
F1 0.129 0.534 0.292
F2 0.134 0.798 0.292
F3 0.236 0.168 0.293
# formation energy (no corrections): -193.0 kJ per mole of atoms
# total moment: 1.8 μB per cell

No. 5
# LaAgAsF (GGA-PBE, optimized geometry)
data_LaAgAsF
_chemical_formula_sum 'La2 Ag2 As2 F2'
_space_group_name_H-M_alt 'P 4/n m m'
_space_group_IT_number 129
_cell_length_a 4.144
_cell_length_b 4.144
_cell_length_c 9.069
_cell_angle_alpha 90.00
_cell_angle_beta 90.00
_cell_angle_gamma 90.00
loop_
_space_group_symop_operation_xyz
'x,y,z'
'-x,-y,-z'
'-y+1/2,x,z'
'y+1/2,-x,-z'
'-x+1/2,-y+1/2,z'
'x+1/2,y+1/2,-z'
'y,-x+1/2,z'
'-y,x+1/2,-z'
'x+1/2,-y,-z'
'-x+1/2,y,z'
'-y,-x,-z'
'y,x,z'
'-x,y+1/2,-z'
'x,-y+1/2,z'
'y+1/2,x+1/2,-z'
'-y+1/2,-x+1/2,z'
loop_
_atom_site_label
_atom_site_fract_x
_atom_site_fract_y
_atom_site_fract_z
La1 0.250 0.250 0.176
Ag1 0.250 0.750 0.500
As1 0.250 0.250 0.702
F1 0.250 0.750 0.000
# formation energy (no corrections): -184.2 kJ per mole of atoms
# total moment: 0.0 μB per cell

No. 6
# Li2AgAsF6 (GGA-PBE, optimized geometry)
data_Li2AgAsF6
_chemical_formula_sum 'Li8 Ag4 As4 F24'
_space_group_name_H-M_alt 'F m -3 m'
_space_group_IT_number 225
_space_group_name_Hall '-F 4 2 3'
_cell_length_a 8.796
_cell_length_b 8.796
_cell_length_c 8.796
_cell_angle_alpha 90.00
_cell_angle_beta 90.00
_cell_angle_gamma 90.00
loop_
_atom_site_label
_atom_site_fract_x
_atom_site_fract_y
_atom_site_fract_z
Li1 0.250 0.250 0.250
Ag1 0.000 0.000 0.000
As1 0.000 0.000 0.500
F1 0.000 0.000 0.268
# formation energy (no corrections): -178.2 kJ per mole of atoms
# total moment: 0.0 μB per cell
# energy relative to the lowest polymorph listed for this composition: 332 kJ/mol of formula units